## Ce5Ge2Os (PBE)

Data for an optimized crystal structure of Ce5Ge2Os.

Computed properties:
Offset from the most stable computed form   0.000 eV/atom
Calculated formation energy   -0.5258 eV per atom

a = 4.498 Å, b = 7.636 Å, c = 11.746 Å
α = 90.00°, β = 90.00°, γ = 90.00°
Positions (direct):
Ce (0.000, 0.000, 0.500)
Ce (0.000, 0.500, 0.000)
Ce (0.000, 0.857, 0.212)
Ce (0.000, 0.143, 0.788)
Ce (0.000, 0.643, 0.712)
Ce (0.000, 0.357, 0.288)
Ce (0.500, 0.708, 0.436)
Ce (0.500, 0.292, 0.564)
Ce (0.500, 0.792, 0.936)
Ce (0.500, 0.208, 0.064)
Ge (0.500, 0.582, 0.173)
Ge (0.500, 0.418, 0.827)
Ge (0.500, 0.918, 0.673)
Ge (0.500, 0.082, 0.327)
Os (0.000, 0.500, 0.500)
Os (0.000, 0.000, 0.000)

## InP2Pt7Pb2 (PBE)

Data for an optimized crystal structure of InP2Pt7Pb2.

Computed properties:
Calculated formation energy   -0.4208 eV per atom

a = 3.950 Å, b = 3.950 Å, c = 15.364 Å
α = 82.60°, β = 82.60°, γ = 89.96°
Positions (direct):
In (0.000, 0.000, 0.000)
P (0.615, 0.615, 0.770)
P (0.385, 0.385, 0.230)
Pt (0.500, 0.500, 0.000)
Pt (0.309, 0.309, 0.381)
Pt (0.691, 0.691, 0.619)
Pt (0.928, 0.428, 0.144)
Pt (0.428, 0.928, 0.144)
Pt (0.572, 0.072, 0.856)
Pt (0.072, 0.572, 0.856)
Pb (0.789, 0.789, 0.422)
Pb (0.211, 0.211, 0.578)

## Zn2AsO (PBE)

Data for an optimized crystal structure of Zn2AsO.

Computed properties:
Uncorrected formation energy   -55 kJ/mol of atoms

a = 5.285 Å, b = 5.285 Å, c = 6.173 Å
α = 64.65°, β = 64.65°, γ = 90.00°
Positions (direct):
As (0.000, 0.000, 0.000)
As (0.750, 0.250, 0.500)
Zn (0.550, 0.125, 0.250)
Zn (0.200, 0.625, 0.250)
Zn (0.375, 0.450, 0.750)
Zn (0.875, 0.800, 0.750)
O (0.500, 0.500, 0.000)
O (0.250, 0.750, 0.500)

## Tb2TiCuO6 (PBE)

Data for an optimized crystal structure of Tb2TiCuO6.

Computed properties:
Uncorrected formation energy   -259 kJ/mol of atoms

a = 3.649 Å, b = 3.649 Å, c = 11.302 Å
α = 90.00°, β = 90.00°, γ = 120.00°
Positions (direct):
Tb (0.667, 0.333, 0.273)
Tb (0.667, 0.333, 0.727)
Ti (0.000, 0.000, 0.000)
Cu (0.333, 0.667, 0.500)
O (0.000, 0.000, 0.165)
O (0.333, 0.667, 0.668)
O (0.667, 0.333, 0.000)
O (0.667, 0.333, 0.500)
O (0.333, 0.667, 0.332)
O (0.000, 0.000, 0.835)

## Sr5S4Br (PBE)

Data for an optimized crystal structure of Sr5S4Br.

Computed properties:
Uncorrected formation energy   -194 kJ/mol of atoms

a = 4.298 Å, b = 7.476 Å, c = 9.624 Å
α = 75.29°, β = 77.10°, γ = 73.29°
Positions (direct):
Sr (0.207, 0.900, 0.685)
Sr (0.793, 0.100, 0.315)
Sr (0.390, 0.331, 0.889)
Sr (0.000, 0.500, 0.500)
Sr (0.610, 0.669, 0.111)
S (0.596, 0.201, 0.606)
S (0.205, 0.389, 0.200)
S (0.795, 0.611, 0.800)
S (0.404, 0.799, 0.394)
Br (0.000, 0.000, 0.000)

## UTcH8Pd2 (PBE)

Data for an optimized crystal structure of UTcH8Pd2.

Computed properties:
Electronic total energy   -4.763 eV per atom

a = 5.116 Å, b = 5.116 Å, c = 5.103 Å
α = 90.00°, β = 90.00°, γ = 120.00°
Positions (direct):
U (0.000, 0.000, 0.500)
Tc (0.000, 0.000, 0.000)
H (0.813, 0.187, 0.127)
H (0.813, 0.627, 0.127)
H (0.373, 0.187, 0.127)
H (0.627, 0.813, 0.873)
H (0.333, 0.667, 0.312)
H (0.667, 0.333, 0.688)
H (0.187, 0.813, 0.873)
H (0.187, 0.373, 0.873)
Pd (0.667, 0.333, 0.370)
Pd (0.333, 0.667, 0.630)

## RbPaIO5 (PBE)

Data for an optimized crystal structure of RbPaIO5.

Computed properties:
Uncorrected formation energy   -188 kJ/mol of atoms

a = 7.190 Å, b = 7.190 Å, c = 8.289 Å
α = 116.69°, β = 116.69°, γ = 102.42°
Positions (direct):
Rb (0.329, 0.671, 0.250)
Rb (0.671, 0.329, 0.750)
Pa (0.000, 0.000, 0.500)
Pa (0.000, 0.000, 0.000)
I (0.696, 0.304, 0.250)
I (0.304, 0.696, 0.750)
O (0.057, 0.943, 0.250)
O (0.943, 0.057, 0.750)
O (0.923, 0.270, 0.140)
O (0.077, 0.730, 0.860)
O (0.730, 0.077, 0.360)
O (0.270, 0.923, 0.640)
O (0.730, 0.586, 0.257)
O (0.270, 0.414, 0.743)
O (0.414, 0.270, 0.243)
O (0.586, 0.730, 0.757)

## ZrSc (PBE)

Data for an optimized crystal structure of ZrSc.

Computed properties:
Calculated formation energy   0.0184 eV per atom

a = 3.191 Å, b = 3.191 Å, c = 4.584 Å
α = 90.00°, β = 90.00°, γ = 90.00°
Positions (direct):
Sc (0.000, 0.000, 0.000)
Zr (0.500, 0.500, 0.500)

## PrPb2 (PBE)

Data for an optimized crystal structure of PrPb2.

Computed properties:
Calculated formation energy   -0.2577 eV per atom

a = 4.531 Å, b = 4.531 Å, c = 5.276 Å
α = 107.96°, β = 107.96°, γ = 90.59°
Positions (direct):
Pb (0.143, 0.143, 0.318)
Pb (0.857, 0.857, 0.682)
Pr (0.500, 0.500, 0.000)

## NpPaBi2 (PBE)

Data for an optimized crystal structure of NpPaBi2.

Computed properties:
Offset from the most stable computed form   0.000 eV/atom
Calculated formation energy   -0.0023 eV per atom

a = 3.359 Å, b = 5.799 Å, c = 5.799 Å
α = 90.00°, β = 90.00°, γ = 90.00°
Positions (direct):
Np (0.500, 0.000, 0.000)
Pa (0.500, 0.500, 0.500)
Bi (0.000, 0.000, 0.500)
Bi (0.000, 0.500, 0.000)

## KPr2Dy (PBE)

Data for an optimized crystal structure of KPr2Dy.

Computed properties:
Calculated formation energy   0.1816 eV per atom

a = 3.678 Å, b = 3.678 Å, c = 13.660 Å
α = 82.26°, β = 82.26°, γ = 60.00°
Positions (direct):
Pr (0.096, 0.096, 0.713)
Pr (0.904, 0.904, 0.287)
K (0.000, 0.000, 0.000)
Dy (0.500, 0.500, 0.500)

## MnGe (PBE)

Data for an optimized crystal structure of MnGe.

Computed properties:
Calculated formation energy   0.5913 eV per atom

a = 7.413 Å, b = 7.413 Å, c = 7.413 Å
α = 90.00°, β = 90.00°, γ = 90.00°
Positions (direct):
Mn (0.125, 0.125, 0.125)
Mn (0.125, 0.875, 0.875)
Mn (0.875, 0.125, 0.875)
Mn (0.875, 0.875, 0.125)
Mn (0.625, 0.625, 0.625)
Mn (0.625, 0.375, 0.375)
Mn (0.375, 0.625, 0.375)
Mn (0.375, 0.375, 0.625)
Ge (0.308, 0.308, 0.308)
Ge (0.308, 0.692, 0.692)
Ge (0.692, 0.308, 0.692)
Ge (0.692, 0.692, 0.308)
Ge (0.808, 0.808, 0.808)
Ge (0.808, 0.192, 0.192)
Ge (0.192, 0.808, 0.192)
Ge (0.192, 0.192, 0.808)

Short version: total magnetic moment = 3.29 0.00 0.00 0.98 0.00 0.32 0.00 0.00 0.00 6.50 0.00 2.57 μB/f.u., in the order given.